Density functional theory data (PBE-GGA) for a relaxed AcNdTmSn crystal.

Properties
Crystal system ... cubic
Space-group type ... No. 216
Total DFT energy (no corrections) ... -0.331 Ry/atom

abc: 7.9141 7.9141 7.9141
angles: 90.00 90.00 90.00
Sites, in units of the cell vectors:
1 Ac 0.0000 0.0000 0.0000
2 Ac 0.0000 0.5000 0.5000
3 Ac 0.5000 0.0000 0.5000
4 Ac 0.5000 0.5000 0.0000
5 Nd 0.2500 0.2500 0.2500
6 Nd 0.2500 0.7500 0.7500
7 Nd 0.7500 0.2500 0.7500
8 Nd 0.7500 0.7500 0.2500
9 Tm 0.2500 0.2500 0.7500
10 Tm 0.2500 0.7500 0.2500
11 Tm 0.7500 0.2500 0.2500
12 Tm 0.7500 0.7500 0.7500
13 Sn 0.0000 0.0000 0.5000
14 Sn 0.0000 0.5000 0.0000
15 Sn 0.5000 0.0000 0.0000
16 Sn 0.5000 0.5000 0.5000



Density functional theory data (PBE-GGA) for a relaxed TaGaCuPt crystal.

Properties
Crystal system ... cubic
Space-group type ... No. 216
Total DFT energy (no corrections) ... -0.478 Ry/atom

abc: 6.2696 6.2696 6.2696
angles: 90.00 90.00 90.00
Sites, in units of the cell vectors:
1 Ta 0.0000 0.0000 0.0000
2 Ta 0.0000 0.5000 0.5000
3 Ta 0.5000 0.0000 0.5000
4 Ta 0.5000 0.5000 0.0000
5 Ga 0.0000 0.0000 0.5000
6 Ga 0.0000 0.5000 0.0000
7 Ga 0.5000 0.0000 0.0000
8 Ga 0.5000 0.5000 0.5000
9 Cu 0.2500 0.2500 0.7500
10 Cu 0.2500 0.7500 0.2500
11 Cu 0.7500 0.2500 0.2500
12 Cu 0.7500 0.7500 0.7500
13 Pt 0.2500 0.2500 0.2500
14 Pt 0.2500 0.7500 0.7500
15 Pt 0.7500 0.2500 0.7500
16 Pt 0.7500 0.7500 0.2500



Density functional theory data (PBE-GGA) for a relaxed Sr2Li3Mg12Au crystal.

Properties
Crystal system ... trigonal
Space-group type ... No. 166
Total DFT energy (no corrections) ... -0.124 Ry/atom

abc: 12.0551 12.0551 12.0551
angles: 33.97 33.97 33.97
Sites, in units of the cell vectors:
1 Sr 0.1412 0.1412 0.1412
2 Sr 0.8588 0.8588 0.8588
3 Li 0.0000 0.5000 0.5000
4 Li 0.5000 0.0000 0.5000
5 Li 0.5000 0.5000 0.0000
6 Mg 0.0918 0.0918 0.6727
7 Mg 0.0918 0.6727 0.0918
8 Mg 0.1288 0.5961 0.5961
9 Mg 0.3273 0.9082 0.9082
10 Mg 0.4039 0.4039 0.8712
11 Mg 0.4039 0.8712 0.4039
12 Mg 0.5961 0.1288 0.5961
13 Mg 0.5961 0.5961 0.1288
14 Mg 0.6727 0.0918 0.0918
15 Mg 0.8712 0.4039 0.4039
16 Mg 0.9082 0.3273 0.9082
17 Mg 0.9082 0.9082 0.3273
18 Au 0.5000 0.5000 0.5000



Density functional theory data (PBE-GGA) for a relaxed CaThSb2 crystal.

Properties
Formation energy without anion corrections ... -380.7 kJ/mol of formula units
Crystal system ... trigonal
Energy above the lowest structure with this stoichiometry ... 0 meV per atom
Space-group type ... No. 166
Total DFT energy (no corrections) ... -0.397 Ry/atom

abc: 4.5575 4.5575 22.0634
angles: 90.00 90.00 120.00
Sites, in units of the cell vectors:
1 Ca 0.0000 0.0000 0.0000
2 Ca 0.3333 0.6667 0.6667
3 Ca 0.6667 0.3333 0.3333
4 Th 0.0000 0.0000 0.5000
5 Th 0.3333 0.6667 0.1667
6 Th 0.6667 0.3333 0.8333
7 Sb 0.0000 0.0000 0.2481
8 Sb 0.0000 0.0000 0.7519
9 Sb 0.3333 0.6667 0.4186
10 Sb 0.3333 0.6667 0.9147
11 Sb 0.6667 0.3333 0.0853
12 Sb 0.6667 0.3333 0.5814